[1]
Below is a geometry-optimized NaRh2Br structure, with properties calculated at the GGA-PBE level.

Values from the calculation:
Magnetization, μB per formula unit: 2.12
Space group: Fm-3m, No. 225
Relative energy among the computed polymorphs, meV/atom: 288
Formation energy without anion corrections, eV per atom: 0.652
Density of states at the Fermi level, states/eV/cell: 2.70

Structure (POSCAR):
```
NaRh2Br
1.0
0.000 3.237 3.237
3.237 0.000 3.237
3.237 3.237 0.000
Na Rh Br
1 2 1
Direct
0.000 0.000 0.000
0.250 0.250 0.250
0.750 0.750 0.750
0.500 0.500 0.500
```



[2]
Below is a geometry-optimized NaRhBr2 structure, with properties calculated at the GGA-PBE level.

Values from the calculation:
Magnetization, μB per formula unit: 1.99
Space group: R-3m, No. 166
Relative energy among the computed polymorphs, meV/atom: 132
Formation energy without anion corrections, eV per atom: -0.234
Density of states at the Fermi level, states/eV/cell: 0.31

Structure (POSCAR):
```
NaRhBr2
1.0
2.063 1.191 8.064
-2.063 1.191 8.064
0.000 -2.383 8.064
Na Rh Br
1 1 2
Direct
0.000 0.000 0.000
0.500 0.500 0.500
0.111 0.111 0.111
0.889 0.889 0.889
```



[3]
Below is a geometry-optimized NaRh2Br structure, with properties calculated at the GGA-PBE level.

Values from the calculation:
Magnetization, μB per formula unit: 0.00
Space group: I-42d, No. 122
Relative energy among the computed polymorphs, meV/atom: 0
Formation energy without anion corrections, eV per atom: 0.364
Density of states at the Fermi level, states/eV/cell: 1.76

Structure (POSCAR):
```
NaRh2Br
1.0
-2.424 2.424 8.254
2.424 -2.424 8.254
2.424 2.424 -8.254
Na Rh Br
2 4 2
Direct
0.000 0.000 0.000
0.750 0.250 0.500
0.294 0.625 0.169
0.375 0.544 0.669
0.456 0.125 0.831
0.875 0.706 0.331
0.250 0.750 0.500
0.500 0.500 0.000
```



[4]
Below is a geometry-optimized NaRhBr2 structure, with properties calculated at the GGA-PBE level.

Values from the calculation:
Magnetization, μB per formula unit: 0.00
Space group: I-42d, No. 122
Relative energy among the computed polymorphs, meV/atom: 0
Formation energy without anion corrections, eV per atom: -0.366
Density of states at the Fermi level, states/eV/cell: 4.39

Structure (POSCAR):
```
NaRhBr2
1.0
-2.867 2.867 7.097
2.867 -2.867 7.097
2.867 2.867 -7.097
Na Rh Br
2 2 4
Direct
0.000 0.000 0.000
0.750 0.250 0.500
0.250 0.750 0.500
0.500 0.500 0.000
0.186 0.625 0.061
0.375 0.436 0.561
0.564 0.125 0.939
0.875 0.814 0.439
```



[5]
Below is a geometry-optimized NaRhBr2 structure, with properties calculated at the GGA-PBE level.

Values from the calculation:
Magnetization, μB per formula unit: 2.00
Space group: Fm-3m, No. 225
Relative energy among the computed polymorphs, meV/atom: 145
Formation energy without anion corrections, eV per atom: -0.221
Density of states at the Fermi level, states/eV/cell: 2.49

Structure (POSCAR):
```
NaRhBr2
1.0
0.000 3.506 3.506
3.506 0.000 3.506
3.506 3.506 0.000
Na Rh Br
1 1 2
Direct
0.000 0.000 0.000
0.500 0.500 0.500
0.250 0.250 0.250
0.750 0.750 0.750
```



[6]
Below is a geometry-optimized Na3RhBr6 structure, with properties calculated at the GGA-PBE level.

Values from the calculation:
Magnetization, μB per formula unit: 0.00
Space group: Fmmm, No. 69
Formation energy without anion corrections, eV per atom: -0.969

Structure (POSCAR):
```
Na3RhBr6
1.0
0.000 5.282 6.677
4.379 0.000 6.677
4.379 5.282 0.000
Na Rh Br
3 1 6
Direct
0.000 0.000 0.000
0.250 0.250 0.250
0.750 0.750 0.750
0.500 0.500 0.500
0.164 0.572 0.836
0.264 0.736 0.264
0.428 0.836 0.572
0.572 0.164 0.428
0.736 0.264 0.736
0.836 0.428 0.164
```